Material: ScPtSe2N
Method: DFT, PBE-GGA
State: optimized geometry

**Density**: 6.86 Mg/m³
**Offset from the most stable computed form**: 0 meV per atom
**E_form (uncorrected)**: -17 meV/atom
**E**: -5.5503 eV/atom

Unit cell a=5.1838 b=5.1838 c=3.7096 alpha=90.00 beta=90.00 gamma=90.00
With the nearest neighbours (Å) after each atom.
Fractional coordinates of all 5 atoms:
Pt  0.0000  0.0000  0.0000  2 N 1.85
N  0.0000  0.0000  0.5000  2 Pt 1.85
Sc  0.5000  0.5000  0.5000  8 Se 3.19
Se  0.0000  0.5000  0.0000  2 Pt 2.59
Se  0.5000  0.0000  0.0000  2 Pt 2.59